Record 1
Computed, not measured: crystalline NbCrSn3 at its relaxed geometry at the PBE-GGA level of DFT.

Lattice parameters (Å, degrees): 5.3309 5.3309 5.3309 90.00 90.00 90.00
Fractional positions:
Nb 0.0000 0.0000 0.0000
Cr 0.5000 0.5000 0.5000
Sn 0.0000 0.0000 0.5000
Sn 0.0000 0.5000 0.0000
Sn 0.5000 0.0000 0.0000

Values from the calculation:
- space group = Pm-3m (221)
- E_form (kJ/mol of formula units) = 642

=====

Record 2
Computed, not measured: crystalline DyGa9Ir2 at its relaxed geometry at the PBE-GGA level of DFT.

Lattice parameters (Å, degrees): 8.5826 8.5826 8.5826 98.63 98.63 134.43
Fractional positions:
Dy 0.3750 0.6250 0.7500
Dy 0.6250 0.3750 0.2500
Ga 0.1061 0.5498 0.3201
Ga 0.1061 0.7860 0.5563
Ga 0.1250 0.8750 0.2500
Ga 0.2140 0.2703 0.3201
Ga 0.2140 0.8939 0.9437
Ga 0.2703 0.2140 0.8201
Ga 0.2703 0.4502 0.0563
Ga 0.4502 0.2703 0.5563
Ga 0.4502 0.8939 0.1799
Ga 0.5498 0.1061 0.8201
Ga 0.5498 0.7297 0.4437
Ga 0.7297 0.5498 0.9437
Ga 0.7297 0.7860 0.1799
Ga 0.7860 0.1061 0.0563
Ga 0.7860 0.7297 0.6799
Ga 0.8750 0.1250 0.7500
Ga 0.8939 0.2140 0.4437
Ga 0.8939 0.4502 0.6799
Ir 0.0000 0.0000 0.0000
Ir 0.0000 0.0000 0.5000
Ir 0.0000 0.5000 0.0000
Ir 0.5000 0.0000 0.5000

Values from the calculation:
- space group = I4_1/amd (141)
- E_form (kJ/mol of formula units) = -328

=====

Record 3
Computed, not measured: crystalline TaTeRh2 at its relaxed geometry at the PBE-GGA level of DFT.

Lattice parameters (Å, degrees): 4.9705 4.9705 4.9705 131.53 131.53 70.97
Fractional positions:
Ta 0.0000 0.0000 0.0000
Te 0.5000 0.5000 0.0000
Rh 0.2500 0.7500 0.5000
Rh 0.7500 0.2500 0.5000

Values from the calculation:
- formation energy without anion corrections (eV per atom) = -0.120
- space group = I4/mmm (139)

=====

Record 4
Computed, not measured: crystalline Ba2ZrTl at its relaxed geometry at the PBE-GGA level of DFT.

Lattice parameters (Å, degrees): 6.2062 6.2062 3.8478 90.00 90.00 90.00
Fractional positions:
Ba 0.0000 0.5000 0.0000
Ba 0.5000 0.0000 0.0000
Zr 0.0000 0.0000 0.5000
Tl 0.5000 0.5000 0.5000

Values from the calculation:
- space group = P4/mmm (123)
- E_form (kJ/mol of formula units) = 122

=====

Record 5
Computed, not measured: crystalline SnBiN2 at its relaxed geometry at the PBE-GGA level of DFT.

Lattice parameters (Å, degrees): 4.4110 4.4110 4.4110 60.00 60.00 60.00
Fractional positions:
Sn 0.0000 0.0000 0.0000
Bi 0.5000 0.5000 0.5000
N 0.2500 0.2500 0.2500
N 0.7500 0.7500 0.7500

Values from the calculation:
- formation energy without anion corrections (eV per atom) = 1.285
- space group = Fm-3m (225)

=====

Record 6
Computed, not measured: crystalline CaZr2Te at its relaxed geometry at the PBE-GGA level of DFT.

Lattice parameters (Å, degrees): 3.7866 3.7866 7.1176 90.00 90.00 90.00
Fractional positions:
Ca 0.0000 0.0000 0.0000
Zr 0.5000 0.5000 0.2927
Zr 0.5000 0.5000 0.7073
Te 0.0000 0.0000 0.5000

Values from the calculation:
- formation energy without anion corrections (eV per atom) = -0.140
- space group = P4/mmm (123)

=====

Record 7
Computed, not measured: crystalline La3IrS at its relaxed geometry at the PBE-GGA level of DFT.

Lattice parameters (Å, degrees): 5.5920 5.5920 5.5920 90.00 90.00 90.00
Fractional positions:
La 0.0000 0.0000 0.5000
La 0.0000 0.5000 0.0000
La 0.5000 0.0000 0.0000
Ir 0.0000 0.0000 0.0000
S 0.5000 0.5000 0.5000

Values from the calculation:
- formation energy without anion corrections (eV per atom) = -0.488
- space group = Pm-3m (221)

=====

Record 8
Computed, not measured: crystalline Al2Pb4Au5 at its relaxed geometry at the PBE-GGA level of DFT.

Lattice parameters (Å, degrees): 11.8537 11.8537 11.8537 137.23 51.74 152.27
Fractional positions:
Al 0.0402 0.2500 0.7902
Al 0.4598 0.2500 0.2098
Al 0.5402 0.7500 0.7902
Al 0.9598 0.7500 0.2098
Pb 0.0402 0.1984 0.2386
Pb 0.1267 0.5834 0.7101
Pb 0.3733 0.0834 0.4568
Pb 0.4598 0.6984 0.1581
Pb 0.5402 0.3016 0.8419
Pb 0.6267 0.9166 0.5432
Pb 0.8733 0.4166 0.2899
Pb 0.9598 0.8016 0.7614
Au 0.1110 0.9138 0.0248
Au 0.2469 0.2454 0.4923
Au 0.2500 0.7500 0.5000
Au 0.2531 0.7454 0.9985
Au 0.3890 0.4138 0.8028
Au 0.6110 0.5862 0.1972
Au 0.7469 0.2546 0.0015
Au 0.7500 0.2500 0.5000
Au 0.7531 0.7546 0.5077
Au 0.8890 0.0862 0.9752

Values from the calculation:
- space group = Ibam (72)
- E_form (kJ/mol of formula units) = -129